Here is an optimized crystal structure of CuBi3PbS6 from the Alexandria database. Energies are from PBEsol.

Raw total energy (eV per atom): -4.684
Energy above the lowest structure with this stoichiometry (meV/atom): 15
Space-group type: No. 26
V (Å³ per atom): 22.6
M_tot (μB per cell): 0.0

Lattice parameters (Å, degrees): 3.991 11.025 11.282 90.00 90.00 90.00
Atoms (fractional coordinates):
1 Cu 0.000 0.038 0.000
2 Cu 0.000 0.962 0.500
3 Bi 0.000 0.251 0.604
4 Bi 0.000 0.425 0.283
5 Bi 0.000 0.575 0.783
6 Bi 0.000 0.749 0.104
7 Bi 0.500 0.064 0.257
8 Bi 0.500 0.936 0.757
9 Pb 0.500 0.290 0.946
10 Pb 0.500 0.710 0.446
11 S 0.000 0.117 0.807
12 S 0.000 0.189 0.142
13 S 0.000 0.462 0.988
14 S 0.000 0.538 0.488
15 S 0.000 0.811 0.642
16 S 0.000 0.883 0.307
17 S 0.500 0.057 0.543
18 S 0.500 0.297 0.383
19 S 0.500 0.383 0.713
20 S 0.500 0.617 0.213
21 S 0.500 0.703 0.883
22 S 0.500 0.943 0.043